This record from Alexandria via LeMat-Bulk describes a relaxed NiPdRh2 crystal. The functional is PBE-GGA.

The space group is P4/mmm (No. 123) and the conventional cell measures 3.802, 3.802 and 3.833 Å, with angles of 90.00, 90.00 and 90.00 degrees. The inequivalent atoms are Ni at (0.000, 0.000, 0.000), Pd at (0.500, 0.500, 0.000) and Rh at (0.000, 0.500, 0.500).

The energy above the most stable polymorph in this dataset is 14 meV/atom. The calculation puts the total energy at -6.3294 eV/atom.

This record from Alexandria via LeMat-Bulk describes a relaxed NiPdRh crystal. The functional is PBE-GGA.

The space group is P4/nmm (No. 129, origin choice 2) and the conventional cell measures 2.709, 2.709 and 11.216 Å, with angles of 90.00, 90.00 and 90.00 degrees. The inequivalent atoms are Ni at (0.250, 0.250, 0.073), Pd at (0.250, 0.250, 0.407) and Rh at (0.250, 0.250, 0.773).

The energy above the most stable polymorph in this dataset is 12 meV/atom. The calculation puts the total energy at -6.0400 eV/atom.

This record from Alexandria via LeMat-Bulk describes a relaxed NiPdRh2 crystal. The functional is PBE-GGA.

The space group is P4/mmm (No. 123) and the conventional cell measures 2.726, 2.726 and 7.389 Å, with angles of 90.00, 90.00 and 90.00 degrees. The inequivalent atoms are Ni at (0.000, 0.000, 0.000), Pd at (0.000, 0.000, 0.500) and Rh at (0.500, 0.500, 0.230).

The energy above the most stable polymorph in this dataset is 0 meV/atom. The calculation puts the total energy at -6.3429 eV/atom.

This record from Alexandria via LeMat-Bulk describes a relaxed Ni6PdRh crystal. The functional is PBE-GGA.

The space group is P4/mmm (No. 123) and the conventional cell measures 3.633, 3.633 and 7.279 Å, with angles of 90.00, 90.00 and 90.00 degrees. The inequivalent atoms are Ni at (0.000, 0.000, 0.000), Ni at (0.000, 0.000, 0.500), Ni at (0.000, 0.500, 0.246), Pd at (0.500, 0.500, 0.500) and Rh at (0.500, 0.500, 0.000).

The calculation puts the total energy at -5.8724 eV/atom.

This record from Alexandria via LeMat-Bulk describes a relaxed NiPdRh2 crystal. The functional is PBE-GGA.

The space group is R3m (No. 160, hexagonal axes) and the conventional cell measures 2.7144, 2.7144 and 25.9898 Å, with angles of 90.00, 90.00 and 120.00 degrees. The inequivalent atoms are Ni at (0.0000, 0.0000, 0.0000), Pd at (0.0000, 0.0000, 0.8332), Rh at (0.0000, 0.0000, 0.4109) and Rh at (0.0000, 0.0000, 0.5889).

The energy above the most stable polymorph in this dataset is 9 meV/atom. The calculation puts the total energy at -6.3338 eV/atom.

This record from Alexandria via LeMat-Bulk describes a relaxed NiPdRh crystal. The functional is PBE-GGA.

The space group is Pmm2 (No. 25) and the conventional cell measures 2.713, 3.741 and 8.098 Å, with angles of 90.00, 90.00 and 90.00 degrees. The inequivalent atoms are Ni at (0.000, 0.000, 0.000), Ni at (0.500, 0.500, 0.153), Pd at (0.000, 0.000, 0.313), Pd at (0.500, 0.500, 0.497), Rh at (0.000, 0.000, 0.679) and Rh at (0.500, 0.500, 0.845).

The energy above the most stable polymorph in this dataset is 3 meV/atom. The calculation puts the total energy at -6.0490 eV/atom.

This record from Alexandria via LeMat-Bulk describes a relaxed NiPdRh2 crystal. The functional is PBE-GGA.

The space group is Fm-3m (No. 225) and the conventional cell measures 6.073, 6.073 and 6.073 Å, with angles of 90.00, 90.00 and 90.00 degrees. The inequivalent atoms are Ni at (0.000, 0.000, 0.000), Pd at (0.000, 0.000, 0.500) and Rh at (0.250, 0.250, 0.250).

The energy above the most stable polymorph in this dataset is 178 meV/atom. The calculation puts the total energy at -6.1646 eV/atom.

This record from Alexandria via LeMat-Bulk describes a relaxed Ni2PdRh crystal. The functional is PBE-GGA.

The space group is R3m (No. 160, hexagonal axes) and the conventional cell measures 2.6749, 2.6749 and 25.5458 Å, with angles of 90.00, 90.00 and 120.00 degrees. The inequivalent atoms are Ni at (0.0000, 0.0000, 0.0000), Ni at (0.0000, 0.0000, 0.1700), Pd at (0.0000, 0.0000, 0.4182) and Rh at (0.0000, 0.0000, 0.5851).

The calculation puts the total energy at -5.9564 eV/atom.

| no. | DOS at the Fermi energy (states/eV/f.u.) |
| --- | --- |
| 1 | 6.512 |
| 2 | 5.358 |
| 3 | 7.216 |
| 4 | 12.662 |
| 5 | 6.943 |
| 6 | 5.349 |
| 7 | 8.292 |
| 8 | 6.097 |